# CaTcSbC2 | the Alexandria database | GGA-PBE | relaxed
data_CaTcSbC2
_cell_length_a 4.129
_cell_length_b 4.129
_cell_length_c 5.750
_cell_angle_alpha 90.00
_cell_angle_beta 90.00
_cell_angle_gamma 90.00
_space_group_name_H-M_alt 'P 4/m m m'
_space_group_IT_number 123
_space_group_name_Hall '-P 4 2'
loop_
_atom_site_label
_atom_site_type_symbol
_atom_site_fract_x
_atom_site_fract_y
_atom_site_fract_z
_atom_site_occupancy
Ca1 Ca 0.000 0.000 0.000 1
Tc1 Tc 0.000 0.000 0.500 1
Sb1 Sb 0.500 0.500 0.000 1
C1 C 0.000 0.500 0.500 1
# Formation energy from raw total energies: 1.346 eV/atom
# Crystal system: tetragonal
# Calculated volume: 19.60 Å³/atom



# CaSb2TeC | the Alexandria database | GGA-PBE | relaxed
data_CaSb2TeC
_cell_length_a 4.765
_cell_length_b 4.765
_cell_length_c 5.340
_cell_angle_alpha 90.00
_cell_angle_beta 90.00
_cell_angle_gamma 90.00
_space_group_name_H-M_alt 'P 4/m m m'
_space_group_IT_number 123
_space_group_name_Hall '-P 4 2'
loop_
_atom_site_label
_atom_site_type_symbol
_atom_site_fract_x
_atom_site_fract_y
_atom_site_fract_z
_atom_site_occupancy
Ca1 Ca 0.000 0.000 0.000 1
Sb1 Sb 0.000 0.500 0.500 1
Te1 Te 0.500 0.500 0.000 1
C1 C 0.500 0.500 0.500 1
# Formation energy from raw total energies: 0.458 eV/atom
# Crystal system: tetragonal
# Calculated volume: 24.25 Å³/atom



# CaSbTe2C | the Alexandria database | GGA-PBE | relaxed
data_CaSbTe2C
_cell_length_a 5.784
_cell_length_b 5.784
_cell_length_c 5.862
_cell_angle_alpha 90.00
_cell_angle_beta 90.00
_cell_angle_gamma 90.00
_space_group_name_H-M_alt 'P 4/m m m'
_space_group_IT_number 123
_space_group_name_Hall '-P 4 2'
loop_
_atom_site_label
_atom_site_type_symbol
_atom_site_fract_x
_atom_site_fract_y
_atom_site_fract_z
_atom_site_occupancy
Ca1 Ca 0.000 0.000 0.000 1
Sb1 Sb 0.000 0.000 0.500 1
Te1 Te 0.000 0.500 0.000 1
C1 C 0.500 0.500 0.500 1
# Formation energy from raw total energies: 1.665 eV/atom
# Crystal system: tetragonal
# Calculated volume: 39.21 Å³/atom



# CaSb2TeC | the Alexandria database | GGA-PBE | relaxed
data_CaSb2TeC
_cell_length_a 5.823
_cell_length_b 5.823
_cell_length_c 5.668
_cell_angle_alpha 90.00
_cell_angle_beta 90.00
_cell_angle_gamma 90.00
_space_group_name_H-M_alt 'P 4/m m m'
_space_group_IT_number 123
_space_group_name_Hall '-P 4 2'
loop_
_atom_site_label
_atom_site_type_symbol
_atom_site_fract_x
_atom_site_fract_y
_atom_site_fract_z
_atom_site_occupancy
Ca1 Ca 0.000 0.000 0.000 1
Sb1 Sb 0.000 0.500 0.000 1
Te1 Te 0.000 0.000 0.500 1
C1 C 0.500 0.500 0.500 1
# Formation energy from raw total energies: 1.811 eV/atom
# Crystal system: tetragonal
# Calculated volume: 38.44 Å³/atom



# CaSbTe2C | the Alexandria database | GGA-PBE | relaxed
data_CaSbTe2C
_cell_length_a 5.007
_cell_length_b 5.007
_cell_length_c 4.783
_cell_angle_alpha 90.00
_cell_angle_beta 90.00
_cell_angle_gamma 90.00
_space_group_name_H-M_alt 'P 4/m m m'
_space_group_IT_number 123
_space_group_name_Hall '-P 4 2'
loop_
_atom_site_label
_atom_site_type_symbol
_atom_site_fract_x
_atom_site_fract_y
_atom_site_fract_z
_atom_site_occupancy
Ca1 Ca 0.000 0.000 0.000 1
Sb1 Sb 0.500 0.500 0.000 1
Te1 Te 0.000 0.500 0.500 1
C1 C 0.500 0.500 0.500 1
# Formation energy from raw total energies: 0.382 eV/atom
# Crystal system: tetragonal
# Calculated volume: 23.98 Å³/atom



# Ca2VSbC | the Alexandria database | GGA-PBE | relaxed
data_Ca2VSbC
_cell_length_a 5.868
_cell_length_b 5.868
_cell_length_c 5.039
_cell_angle_alpha 90.00
_cell_angle_beta 90.00
_cell_angle_gamma 90.00
_space_group_name_H-M_alt 'P 4/m m m'
_space_group_IT_number 123
_space_group_name_Hall '-P 4 2'
loop_
_atom_site_label
_atom_site_type_symbol
_atom_site_fract_x
_atom_site_fract_y
_atom_site_fract_z
_atom_site_occupancy
Ca1 Ca 0.000 0.500 0.000 1
V1 V 0.000 0.000 0.500 1
Sb1 Sb 0.000 0.000 0.000 1
C1 C 0.500 0.500 0.500 1
# Formation energy from raw total energies: 1.310 eV/atom
# Crystal system: tetragonal
# Calculated volume: 34.71 Å³/atom



# Ca2YSbC | the Alexandria database | GGA-PBE | relaxed
data_Ca2YSbC
_cell_length_a 4.970
_cell_length_b 4.970
_cell_length_c 4.914
_cell_angle_alpha 90.00
_cell_angle_beta 90.00
_cell_angle_gamma 90.00
_space_group_name_H-M_alt 'P 4/m m m'
_space_group_IT_number 123
_space_group_name_Hall '-P 4 2'
loop_
_atom_site_label
_atom_site_type_symbol
_atom_site_fract_x
_atom_site_fract_y
_atom_site_fract_z
_atom_site_occupancy
Ca1 Ca 0.000 0.500 0.000 1
Y1 Y 0.000 0.000 0.500 1
Sb1 Sb 0.500 0.500 0.500 1
C1 C 0.000 0.000 0.000 1
# Formation energy from raw total energies: -0.547 eV/atom
# Crystal system: tetragonal
# Calculated volume: 24.27 Å³/atom



# CaScC3 | the Alexandria database | GGA-PBE | relaxed
data_CaScC3
_cell_length_a 4.223
_cell_length_b 4.223
_cell_length_c 4.223
_cell_angle_alpha 90.00
_cell_angle_beta 90.00
_cell_angle_gamma 90.00
_space_group_name_H-M_alt 'P m -3 m'
_space_group_IT_number 221
_space_group_name_Hall '-P 4 2 3'
loop_
_atom_site_label
_atom_site_type_symbol
_atom_site_fract_x
_atom_site_fract_y
_atom_site_fract_z
_atom_site_occupancy
Ca1 Ca 0.000 0.000 0.000 1
Sc1 Sc 0.500 0.500 0.500 1
C1 C 0.000 0.000 0.500 1
# Crystal system: cubic
# Calculated volume: 15.06 Å³/atom
# DFT formation energy: 2455.5 meV per atom



# CaScC3 | the Alexandria database | GGA-PBE | relaxed
data_CaScC3
_cell_length_a 4.252
_cell_length_b 4.252
_cell_length_c 4.252
_cell_angle_alpha 90.00
_cell_angle_beta 90.00
_cell_angle_gamma 90.00
_space_group_name_H-M_alt 'P m -3 m'
_space_group_IT_number 221
_space_group_name_Hall '-P 4 2 3'
loop_
_atom_site_label
_atom_site_type_symbol
_atom_site_fract_x
_atom_site_fract_y
_atom_site_fract_z
_atom_site_occupancy
Ca1 Ca 0.000 0.000 0.000 1
Sc1 Sc 0.500 0.500 0.500 1
C1 C 0.000 0.500 0.500 1
# Crystal system: cubic
# Calculated volume: 15.38 Å³/atom
# DFT formation energy: 1482.7 meV per atom



# Ca2ScC | the Alexandria database | GGA-PBE | relaxed
data_Ca2ScC
_cell_length_a 9.790
_cell_length_b 9.790
_cell_length_c 4.456
_cell_angle_alpha 90.00
_cell_angle_beta 90.00
_cell_angle_gamma 90.00
_space_group_name_H-M_alt 'I -4 2 d'
_space_group_IT_number 122
_space_group_name_Hall 'I -4 2bw'
loop_
_atom_site_label
_atom_site_type_symbol
_atom_site_fract_x
_atom_site_fract_y
_atom_site_fract_z
_atom_site_occupancy
Ca1 Ca 0.086 0.750 0.125 1
Sc1 Sc 0.000 0.000 0.500 1
C1 C 0.000 0.000 0.000 1
# Crystal system: tetragonal
# Calculated volume: 26.69 Å³/atom
# DFT formation energy: 280.6 meV per atom



# CaSc2ZnC | the Alexandria database | GGA-PBE | relaxed
data_CaSc2ZnC
_cell_length_a 4.491
_cell_length_b 4.491
_cell_length_c 5.098
_cell_angle_alpha 90.00
_cell_angle_beta 90.00
_cell_angle_gamma 90.00
_space_group_name_H-M_alt 'P 4/m m m'
_space_group_IT_number 123
_space_group_name_Hall '-P 4 2'
loop_
_atom_site_label
_atom_site_type_symbol
_atom_site_fract_x
_atom_site_fract_y
_atom_site_fract_z
_atom_site_occupancy
Ca1 Ca 0.000 0.000 0.000 1
Sc1 Sc 0.000 0.500 0.500 1
Zn1 Zn 0.500 0.500 0.000 1
C1 C 0.000 0.000 0.500 1
# Crystal system: tetragonal
# Calculated volume: 20.57 Å³/atom
# DFT formation energy: -207.3 meV per atom



# CaCSe2 | the Alexandria database | GGA-PBE | relaxed
data_CaCSe2
_cell_length_a 4.6490
_cell_length_b 4.6490
_cell_length_c 19.1171
_cell_angle_alpha 90.00
_cell_angle_beta 90.00
_cell_angle_gamma 120.00
_space_group_name_H-M_alt 'R -3 m'
_space_group_IT_number 166
_space_group_name_Hall '-R 3 2"'
loop_
_atom_site_label
_atom_site_type_symbol
_atom_site_fract_x
_atom_site_fract_y
_atom_site_fract_z
_atom_site_occupancy
Ca1 Ca 0.0000 0.0000 0.0000 1
C1 C 0.0000 0.0000 0.5000 1
Se1 Se 0.0000 0.0000 0.4050 1
# Formation energy from raw total energies: 0.213 eV/atom
# Crystal system: trigonal
# Calculated volume: 29.82 Å³/atom